[1]
# PBE Rb2TaCCl6, optimized geometry
# Energy relative to the elements, uncorrected   -67.0 kJ per mole of atoms
# V   292.3 Å³/f.u.
# Theoretical density   3.3 Mg/m³
data_Rb2TaCCl6
_chemical_formula_sum 'Rb4 Ta2 C2 Cl12'
_space_group_name_H-M_alt 'I 4/m m m'
_space_group_IT_number 139
_space_group_name_Hall '-I 4 2'
_cell_length_a 8.0174
_cell_length_b 8.0174
_cell_length_c 9.0939
_cell_angle_alpha 90.00
_cell_angle_beta 90.00
_cell_angle_gamma 90.00
loop_
_atom_site_label
_atom_site_fract_x
_atom_site_fract_y
_atom_site_fract_z
Rb1 0.0000 0.5000 0.2500
Ta1 0.0000 0.0000 0.0000
C1 0.0000 0.0000 0.5000
Cl1 0.0000 0.0000 0.2608
Cl2 0.2153 0.2153 0.0000

***

[2]
# PBE Sb2Pd2Se, optimized geometry
# Energy relative to the elements, uncorrected   1.2 kJ per mole of atoms
# V   115.3 Å³/f.u.
# Theoretical density   7.7 Mg/m³
# Polymorph energy (0 for the lowest one)   181 meV/atom
data_Sb2Pd2Se
_chemical_formula_sum 'Sb4 Pd4 Se2'
_space_group_name_H-M_alt 'I 4/m m m'
_space_group_IT_number 139
_space_group_name_Hall '-I 4 2'
_cell_length_a 4.5158
_cell_length_b 4.5158
_cell_length_c 11.3129
_cell_angle_alpha 90.00
_cell_angle_beta 90.00
_cell_angle_gamma 90.00
loop_
_atom_site_label
_atom_site_fract_x
_atom_site_fract_y
_atom_site_fract_z
Sb1 0.0000 0.5000 0.2500
Pd1 0.0000 0.0000 0.1181
Se1 0.0000 0.0000 0.5000

***

[3]
# PBE BaHfPdBr, optimized geometry
# Energy relative to the elements, uncorrected   -64.6 kJ per mole of atoms
# V   129.5 Å³/f.u.
# Theoretical density   6.4 Mg/m³
# Polymorph energy (0 for the lowest one)   8 meV/atom
data_BaHfPdBr
_chemical_formula_sum 'Ba1 Hf1 Pd1 Br1'
_space_group_name_H-M_alt 'P 3 m 1'
_space_group_IT_number 156
_cell_length_a 4.2669
_cell_length_b 4.2669
_cell_length_c 8.2146
_cell_angle_alpha 90.00
_cell_angle_beta 90.00
_cell_angle_gamma 120.00
loop_
_space_group_symop_operation_xyz
'x,y,z'
'-y,x-y,z'
'-x+y,-x,z'
'-y,-x,z'
'-x+y,y,z'
'x,x-y,z'
loop_
_atom_site_label
_atom_site_fract_x
_atom_site_fract_y
_atom_site_fract_z
Ba1 0.0000 0.0000 0.0000
Hf1 0.3333 0.6667 0.6210
Pd1 0.6667 0.3333 0.7378
Br1 0.3333 0.6667 0.2935